A geometry-optimized KCr2Re structure. Source: Alexandria via LeMat-Bulk, functional GGA-PBE.

It has space group P4/mmm (No. 123), with a = 3.3221 Å, b = 3.3221 Å, c = 7.6929 Å, α = 90.00°, β = 90.00° and γ = 90.00°. The asymmetric unit holds K at (0.0000, 0.0000, 0.0000), Cr at (0.5000, 0.5000, 0.3704) and Re at (0.0000, 0.0000, 0.5000).

As for the formation energy: 0.84 eV per atom. As for the calculated total energy: -29.42 eV per cell. The excess energy over the best structure of this formula in the dataset comes out at 49.5 meV/atom. The calculation puts the spin magnetization at 0.0 μB per cell. As for the volume: 84.9 Å³/cell. As for the density of states at the Fermi level: 1.84 states/eV/cell.